1.
The following is a PBE-GGA calculation of Na3Y2PuS6 after structural relaxation, from Alexandria.

Raw total energy   -6.40 eV per atom

Unit cell a=6.9579 b=6.9579 c=7.0534 alpha=99.46 beta=99.46 gamma=120.00
Atoms (fractional coordinates):
Na  0.0000  0.0000  0.0000
Na  0.3330  0.6670  0.0000
Na  0.6670  0.3330  0.0000
Y  0.1666  0.8334  0.5000
Y  0.8334  0.1666  0.5000
Pu  0.5000  0.5000  0.5000
S  0.0881  0.4242  0.2727
S  0.2397  0.2397  0.7275
S  0.4242  0.0881  0.2727
S  0.5758  0.9119  0.7273
S  0.7603  0.7603  0.2725
S  0.9119  0.5758  0.7273

---

2.
The following is a PBE-GGA calculation of NaY4PuS8 after structural relaxation, from Alexandria.

Raw total energy   -7.19 eV per atom

Unit cell a=8.1646 b=8.1646 c=8.1646 alpha=59.47 beta=59.47 gamma=59.47
Atoms (fractional coordinates):
Na  0.0000  0.0000  0.0000
Y  0.3698  0.3698  0.8871
Y  0.3698  0.8871  0.3698
Y  0.7486  0.7486  0.7486
Y  0.8871  0.3698  0.3698
Pu  0.3713  0.3713  0.3713
S  0.1353  0.1353  0.1353
S  0.1349  0.1349  0.5899
S  0.1349  0.5899  0.1349
S  0.1476  0.6192  0.6192
S  0.5899  0.1349  0.1349
S  0.6162  0.6162  0.6162
S  0.6192  0.1476  0.6192
S  0.6192  0.6192  0.1476

---

3.
The following is a PBE-GGA calculation of Na3Pu2ZnS6 after structural relaxation, from Alexandria.

Raw total energy   -6.16 eV per atom

Unit cell a=6.7807 b=6.7807 c=7.0164 alpha=99.24 beta=99.24 gamma=120.02
Atoms (fractional coordinates):
Na  0.0000  0.0000  0.0000
Na  0.3347  0.6653  0.0000
Na  0.6653  0.3347  0.0000
Pu  0.1668  0.8332  0.5000
Pu  0.8332  0.1668  0.5000
Zn  0.5000  0.5000  0.5000
S  0.0999  0.4260  0.2778
S  0.2482  0.2482  0.7210
S  0.4260  0.0999  0.2778
S  0.5740  0.9001  0.7222
S  0.7518  0.7518  0.2790
S  0.9001  0.5740  0.7222

---

4.
The following is a PBE-GGA calculation of Na2PuZr2S6 after structural relaxation, from Alexandria.

Raw total energy   -6.88 eV per atom

Unit cell a=6.6316 b=6.6316 c=7.1318 alpha=98.74 beta=98.74 gamma=120.43
Atoms (fractional coordinates):
Na  0.1642  0.8358  0.0000
Na  0.8358  0.1642  0.0000
Pu  0.0000  0.0000  0.5000
Zr  0.3340  0.6660  0.5000
Zr  0.6660  0.3340  0.5000
S  0.0694  0.4211  0.7183
S  0.2776  0.2776  0.2803
S  0.4211  0.0694  0.7183
S  0.5789  0.9306  0.2817
S  0.7224  0.7224  0.7197
S  0.9306  0.5789  0.2817

---

5.
The following is a PBE-GGA calculation of Na3PuZr3S8 after structural relaxation, from Alexandria.

Raw total energy   -6.64 eV per atom

Unit cell a=8.0599 b=8.0599 c=8.0599 alpha=55.62 beta=55.62 gamma=55.62
Atoms (fractional coordinates):
Na  0.0000  0.5000  0.5000
Na  0.5000  0.0000  0.5000
Na  0.5000  0.5000  0.0000
Pu  0.5000  0.5000  0.5000
Zr  0.0000  0.0000  0.5000
Zr  0.0000  0.5000  0.0000
Zr  0.5000  0.0000  0.0000
S  0.2255  0.7485  0.7485
S  0.2411  0.2411  0.2411
S  0.2515  0.2515  0.7745
S  0.2515  0.7745  0.2515
S  0.7485  0.2255  0.7485
S  0.7485  0.7485  0.2255
S  0.7589  0.7589  0.7589
S  0.7745  0.2515  0.2515

---

6.
The following is a PBE-GGA calculation of Na2PuZrS4 after structural relaxation, from Alexandria.

Raw total energy   -6.77 eV per atom

Unit cell a=6.7281 b=3.8696 c=7.0783 alpha=90.00 beta=108.40 gamma=90.00
Atoms (fractional coordinates):
Na  0.0000  0.0000  0.0000
Na  0.5000  0.5000  0.0000
Pu  0.0000  0.5000  0.5000
Zr  0.5000  0.0000  0.5000
S  0.2578  0.0000  0.7275
S  0.2716  0.5000  0.2764
S  0.7284  0.5000  0.7236
S  0.7422  0.0000  0.2725

---

7.
The following is a PBE-GGA calculation of Na3PuZr2S6 after structural relaxation, from Alexandria.

Raw total energy   -6.51 eV per atom

Unit cell a=6.6217 b=6.6217 c=7.1063 alpha=98.97 beta=98.97 gamma=120.03
Atoms (fractional coordinates):
Na  0.0000  0.0000  0.0000
Na  0.3365  0.6635  0.0000
Na  0.6635  0.3365  0.0000
Pu  0.5000  0.5000  0.5000
Zr  0.1671  0.8329  0.5000
Zr  0.8329  0.1671  0.5000
S  0.0754  0.4246  0.2745
S  0.2264  0.2264  0.7257
S  0.4246  0.0754  0.2745
S  0.5754  0.9246  0.7255
S  0.7736  0.7736  0.2743
S  0.9246  0.5754  0.7255

---

8.
The following is a PBE-GGA calculation of Na2Pu2ZrS6 after structural relaxation, from Alexandria.

Raw total energy   -7.41 eV per atom

Unit cell a=6.7889 b=6.7889 c=7.0823 alpha=99.21 beta=99.21 gamma=119.52
Atoms (fractional coordinates):
Na  0.1679  0.8321  0.0000
Na  0.8321  0.1679  0.0000
Pu  0.3345  0.6655  0.5000
Pu  0.6655  0.3345  0.5000
Zr  0.0000  0.0000  0.5000
S  0.0702  0.3916  0.7179
S  0.2416  0.2416  0.2813
S  0.3916  0.0702  0.7179
S  0.6084  0.9298  0.2821
S  0.7584  0.7584  0.7187
S  0.9298  0.6084  0.2821

---

9.
The following is a PBE-GGA calculation of Na3PuSb3 after structural relaxation, from Alexandria.

Raw total energy   -4.73 eV per atom

Unit cell a=6.2930 b=6.2930 c=6.2930 alpha=106.05 beta=106.05 gamma=106.05
Atoms (fractional coordinates):
Na  0.0588  0.4706  0.4706
Na  0.4706  0.0588  0.4706
Na  0.4706  0.4706  0.0588
Pu  0.9228  0.9228  0.9228
Sb  0.4318  0.9341  0.9341
Sb  0.9341  0.4318  0.9341
Sb  0.9341  0.9341  0.4318

---

10.
The following is a PBE-GGA calculation of Na3Pu2SbSe6 after structural relaxation, from Alexandria.

Raw total energy   -5.95 eV per atom

Unit cell a=7.2848 b=7.2848 c=7.3706 alpha=99.46 beta=99.46 gamma=119.99
Atoms (fractional coordinates):
Na  0.0000  0.0000  0.0000
Na  0.3366  0.6634  0.0000
Na  0.6634  0.3366  0.0000
Pu  0.1670  0.8330  0.5000
Pu  0.8330  0.1670  0.5000
Sb  0.5000  0.5000  0.5000
Se  0.0897  0.4231  0.2691
Se  0.2429  0.2429  0.7298
Se  0.4231  0.0897  0.2691
Se  0.5769  0.9103  0.7309
Se  0.7571  0.7571  0.2702
Se  0.9103  0.5769  0.7309

---

11.
The following is a PBE-GGA calculation of Na2PuSbSe4 after structural relaxation, from Alexandria.

Raw total energy   -5.39 eV per atom

Unit cell a=7.3096 b=4.1981 c=7.3898 alpha=90.00 beta=109.32 gamma=90.00
Atoms (fractional coordinates):
Na  0.0000  0.0000  0.0000
Na  0.5000  0.5000  0.0000
Pu  0.0000  0.5000  0.5000
Sb  0.5000  0.0000  0.5000
Se  0.2443  0.0000  0.7295
Se  0.2570  0.5000  0.2679
Se  0.7430  0.5000  0.7321
Se  0.7557  0.0000  0.2705

---

12.
The following is a PBE-GGA calculation of Na3Pu3SbSe8 after structural relaxation, from Alexandria.

Raw total energy   -6.44 eV per atom

Unit cell a=8.4527 b=8.4527 c=8.4527 alpha=59.47 beta=59.47 gamma=59.47
Atoms (fractional coordinates):
Na  0.0000  0.5000  0.5000
Na  0.5000  0.0000  0.5000
Na  0.5000  0.5000  0.0000
Pu  0.0000  0.0000  0.5000
Pu  0.0000  0.5000  0.0000
Pu  0.5000  0.0000  0.0000
Sb  0.5000  0.5000  0.5000
Se  0.2403  0.7423  0.7423
Se  0.2432  0.2432  0.2432
Se  0.2577  0.2577  0.7597
Se  0.2577  0.7597  0.2577
Se  0.7423  0.2403  0.7423
Se  0.7423  0.7423  0.2403
Se  0.7568  0.7568  0.7568
Se  0.7597  0.2577  0.2577

---

13.
The following is a PBE-GGA calculation of Na2PuSbTe4 after structural relaxation, from Alexandria.

Raw total energy   -4.93 eV per atom

Unit cell a=7.8053 b=4.4797 c=7.9365 alpha=90.00 beta=109.15 gamma=90.00
Atoms (fractional coordinates):
Na  0.0000  0.0000  0.0000
Na  0.5000  0.5000  0.0000
Pu  0.0000  0.5000  0.5000
Sb  0.5000  0.0000  0.5000
Te  0.2470  0.0000  0.7318
Te  0.2594  0.5000  0.2677
Te  0.7406  0.5000  0.7323
Te  0.7530  0.0000  0.2682

---

14.
The following is a PBE-GGA calculation of Na4Pu3SbTe8 after structural relaxation, from Alexandria.

Raw total energy   -5.73 eV per atom

Unit cell a=9.0985 b=9.0985 c=9.0985 alpha=59.30 beta=59.30 gamma=59.30
Atoms (fractional coordinates):
Na  0.0000  0.0000  0.0000
Na  0.0000  0.5000  0.5000
Na  0.5000  0.0000  0.5000
Na  0.5000  0.5000  0.0000
Pu  0.0000  0.0000  0.5000
Pu  0.0000  0.5000  0.0000
Pu  0.5000  0.0000  0.0000
Sb  0.5000  0.5000  0.5000
Te  0.2442  0.2442  0.2442
Te  0.2473  0.7427  0.7427
Te  0.2573  0.2573  0.7527
Te  0.2573  0.7527  0.2573
Te  0.7427  0.2473  0.7427
Te  0.7427  0.7427  0.2473
Te  0.7527  0.2573  0.2573
Te  0.7558  0.7558  0.7558

---

15.
The following is a PBE-GGA calculation of Na4PuSb3Te8 after structural relaxation, from Alexandria.

Raw total energy   -4.15 eV per atom

Unit cell a=9.1711 b=9.1711 c=9.1711 alpha=58.12 beta=58.12 gamma=58.12
Atoms (fractional coordinates):
Na  0.0000  0.0000  0.0000
Na  0.0000  0.5000  0.5000
Na  0.5000  0.0000  0.5000
Na  0.5000  0.5000  0.0000
Pu  0.5000  0.5000  0.5000
Sb  0.0000  0.0000  0.5000
Sb  0.0000  0.5000  0.0000
Sb  0.5000  0.0000  0.0000
Te  0.2412  0.7457  0.7457
Te  0.2434  0.2434  0.2434
Te  0.2543  0.2543  0.7588
Te  0.2543  0.7588  0.2543
Te  0.7457  0.2412  0.7457
Te  0.7457  0.7457  0.2412
Te  0.7566  0.7566  0.7566
Te  0.7588  0.2543  0.2543

---

16.
The following is a PBE-GGA calculation of Na2PuZnSb2 after structural relaxation, from Alexandria.

Raw total energy   -4.80 eV per atom

Unit cell a=4.7848 b=9.0957 c=7.0824 alpha=90.00 beta=90.00 gamma=90.00
Atoms (fractional coordinates):
Na  0.0000  0.0013  0.0000
Na  0.0000  0.9987  0.5000
Na  0.5000  0.1518  0.7489
Na  0.5000  0.8482  0.2489
Pu  0.5000  0.4997  0.9997
Pu  0.5000  0.5003  0.4997
Zn  0.0000  0.3362  0.2502
Zn  0.0000  0.6638  0.7502
Sb  0.0000  0.3576  0.7494
Sb  0.0000  0.6424  0.2494
Sb  0.5000  0.1884  0.2501
Sb  0.5000  0.8116  0.7501

---

17.
The following is a PBE-GGA calculation of NaPuZnSb after structural relaxation, from Alexandria.

Raw total energy   -5.52 eV per atom

Unit cell a=7.3870 b=7.3870 c=7.3870 alpha=90.00 beta=90.00 gamma=90.00
Atoms (fractional coordinates):
Na  0.0000  0.0000  0.0000
Na  0.0000  0.5000  0.5000
Na  0.5000  0.0000  0.5000
Na  0.5000  0.5000  0.0000
Pu  0.0000  0.0000  0.5000
Pu  0.0000  0.5000  0.0000
Pu  0.5000  0.0000  0.0000
Pu  0.5000  0.5000  0.5000
Zn  0.2500  0.2500  0.7500
Zn  0.2500  0.7500  0.2500
Zn  0.7500  0.2500  0.2500
Zn  0.7500  0.7500  0.7500
Sb  0.2500  0.2500  0.2500
Sb  0.2500  0.7500  0.7500
Sb  0.7500  0.2500  0.7500
Sb  0.7500  0.7500  0.2500

---

18.
The following is a PBE-GGA calculation of Na2PuScSe4 after structural relaxation, from Alexandria.

Raw total energy   -6.13 eV per atom

Unit cell a=7.0726 b=4.0844 c=7.3380 alpha=90.00 beta=108.75 gamma=90.00
Atoms (fractional coordinates):
Na  0.0000  0.0000  0.0000
Na  0.5000  0.5000  0.0000
Pu  0.0000  0.5000  0.5000
Sc  0.5000  0.0000  0.5000
Se  0.2559  0.0000  0.7271
Se  0.2724  0.5000  0.2784
Se  0.7276  0.5000  0.7216
Se  0.7441  0.0000  0.2729

---

19.
The following is a PBE-GGA calculation of Na2PuSc2Se6 after structural relaxation, from Alexandria.

Raw total energy   -6.06 eV per atom

Unit cell a=6.8970 b=6.8970 c=7.4210 alpha=98.75 beta=98.75 gamma=120.28
Atoms (fractional coordinates):
Na  0.1646  0.8354  0.0000
Na  0.8354  0.1646  0.0000
Pu  0.0000  0.0000  0.5000
Sc  0.3329  0.6671  0.5000
Sc  0.6671  0.3329  0.5000
Se  0.0708  0.4133  0.7184
Se  0.2705  0.2705  0.2818
Se  0.4133  0.0708  0.7184
Se  0.5867  0.9292  0.2816
Se  0.7295  0.7295  0.7182
Se  0.9292  0.5867  0.2816

---

20.
The following is a PBE-GGA calculation of NaPuSc2Se4 after structural relaxation, from Alexandria.

Raw total energy   -6.85 eV per atom

Unit cell a=6.9053 b=3.9679 c=7.0645 alpha=90.00 beta=108.83 gamma=90.00
Atoms (fractional coordinates):
Na  0.0000  0.0000  0.0000
Pu  0.5000  0.5000  0.0000
Sc  0.0000  0.5000  0.5000
Sc  0.5000  0.0000  0.5000
Se  0.2420  0.0000  0.7308
Se  0.2570  0.5000  0.2730
Se  0.7430  0.5000  0.7270
Se  0.7580  0.0000  0.2692

---

21.
The following is a PBE-GGA calculation of Na3Pu2ScSe6 after structural relaxation, from Alexandria.

Raw total energy   -6.44 eV per atom

Unit cell a=7.1405 b=7.1405 c=7.3500 alpha=99.33 beta=99.33 gamma=120.03
Atoms (fractional coordinates):
Na  0.0000  0.0000  0.0000
Na  0.3318  0.6682  0.0000
Na  0.6682  0.3318  0.0000
Pu  0.1666  0.8334  0.5000
Pu  0.8334  0.1666  0.5000
Sc  0.5000  0.5000  0.5000
Se  0.1044  0.4244  0.2732
Se  0.2556  0.2556  0.7256
Se  0.4244  0.1044  0.2732
Se  0.5756  0.8956  0.7268
Se  0.7444  0.7444  0.2744
Se  0.8956  0.5756  0.7268